A geometry-optimized Ni2SbCl structure, computed with PBE.

Cell and atoms, written as POSCAR:
```
Ni2SbCl
1.0
3.220 -3.226 0.000
3.220 3.226 0.000
0.000 0.000 3.082
Ni Sb Cl
2 1 1
Direct
0.000 0.500 0.000 Ni
0.500 0.000 0.000 Ni
0.000 0.000 0.500 Sb
0.500 0.500 0.500 Cl
```

Properties
**Calculated total energy**: -16.30 eV/cell
**E_form (uncorrected)**: 29.60 kJ/mol of atoms
**DOS at the Fermi energy**: 0.671 states/eV per atom
**Excess energy over the best structure of this formula in the dataset**: 457 meV per atom